Entry from Alexandria via LeMat-Bulk: a relaxed Tb4NdTm6 crystal (PBE).

a b c (Å): 9.6388 9.6388 9.6388
angles (deg): 140.30 140.30 57.40
Last column: nearest neighbours and their distance in Å.
Fractional coordinates of all 11 atoms:
Tb 0.1387 0.1387 0.6248  5 Tm 3.32-3.52, 1 Nd 3.41, 1 Tb 3.47
Tb 0.4861 0.8613 0.0000  5 Tm 3.32-3.52, 1 Nd 3.41, 1 Tb 3.47
Tb 0.5139 0.5139 0.3752  5 Tm 3.32-3.52, 1 Nd 3.41, 1 Tb 3.47
Tb 0.8613 0.4861 0.0000  5 Tm 3.32-3.52, 1 Nd 3.41, 1 Tb 3.47
Nd 0.5000 0.5000 0.0000  4 Tm 3.27, 4 Tb 3.41
Tm 0.0000 0.5000 0.5000  4 Tm 3.26, 2 Nd 3.27
Tm 0.0494 0.6910 0.0000  3 Tm 3.26-3.32, 5 Tb 3.32-3.52
Tm 0.3090 0.3090 0.3584  3 Tm 3.26-3.32, 5 Tb 3.32-3.52
Tm 0.5000 0.0000 0.5000  4 Tm 3.26, 2 Nd 3.27
Tm 0.6910 0.0494 0.0000  3 Tm 3.26-3.32, 5 Tb 3.32-3.52
Tm 0.9506 0.9506 0.6416  3 Tm 3.26-3.32, 5 Tb 3.32-3.52

Properties
- DFT total energy (eV per cell) = -46.58
- V (Å³/f.u.) = 362.25
- energy relative to the elements (meV per atom) = 321
- energy above the lowest structure with this stoichiometry (kJ per mole of atoms) = 0.0
- symmetry = I-42m (121)


Entry from Alexandria via LeMat-Bulk: a relaxed Rb3ClO2 crystal (PBE).

a b c (Å): 8.1443 8.1443 6.0914
angles (deg): 90.00 90.00 120.00
Last column: nearest neighbours and their distance in Å.
Fractional coordinates of all 12 atoms:
Rb 0.1932 0.3863 0.2500  2 O 3.01, 2 Cl 3.12
Rb 0.1932 0.8068 0.2500  2 O 3.01, 2 Cl 3.12
Rb 0.3863 0.1932 0.7500  2 O 3.01, 2 Cl 3.12
Rb 0.6137 0.8068 0.2500  2 O 3.01, 2 Cl 3.12
Rb 0.8068 0.1932 0.7500  2 O 3.01, 2 Cl 3.12
Rb 0.8068 0.6137 0.7500  2 O 3.01, 2 Cl 3.12
Cl 0.0000 0.0000 0.0000  2 Cl 3.05, 6 Rb 3.12
Cl 0.0000 0.0000 0.5000  2 Cl 3.05, 6 Rb 3.12
O 0.3333 0.6667 0.6230  1 O 1.55
O 0.3333 0.6667 0.8770  1 O 1.55
O 0.6667 0.3333 0.1230  1 O 1.55
O 0.6667 0.3333 0.3770  1 O 1.55

Properties
- DFT total energy (eV per cell) = -40.62
- E_form (uncorrected) (eV/atom) = -0.94
- V (Å³/f.u.) = 174.95
- symmetry = P6_3/mmc (194)


Entry from Alexandria via LeMat-Bulk: a relaxed LuPuPt crystal (PBE).

a b c (Å): 4.8249 4.8249 4.8249
angles (deg): 60.00 60.00 60.00
Last column: nearest neighbours and their distance in Å.
Fractional coordinates of all 3 atoms:
Lu 0.0000 0.0000 0.0000  4 Pt 2.95
Pu 0.5000 0.5000 0.5000  4 Pt 2.95
Pt 0.7500 0.7500 0.7500  4 Pu 2.95, 4 Lu 2.95

Properties
- DFT total energy (eV per cell) = -26.77
- V (Å³/f.u.) = 79.42
- energy relative to the elements (meV per atom) = -626
- energy above the lowest structure with this stoichiometry (kJ per mole of atoms) = 0.0
- symmetry = F-43m (216)


Entry from Alexandria via LeMat-Bulk: a relaxed Li2Er5Pb4 crystal (PBE).

a b c (Å): 10.9345 10.9345 10.9345
angles (deg): 161.20 133.95 50.16
Last column: nearest neighbours and their distance in Å.
Fractional coordinates of all 11 atoms:
Li 0.0789 0.0789 0.0000  5 Pb 2.71-2.89
Li 0.9211 0.9211 0.0000  5 Pb 2.71-2.89
Er 0.1367 0.3451 0.7916  4 Pb 3.12-3.30, 2 Li 3.42
Er 0.4465 0.6549 0.7916  4 Pb 3.12-3.30, 2 Li 3.42
Er 0.5000 0.0000 0.5000  4 Pb 3.18
Er 0.5535 0.3451 0.2084  4 Pb 3.12-3.30, 2 Li 3.42
Er 0.8633 0.6549 0.2084  4 Pb 3.12-3.30, 2 Li 3.42
Pb 0.1931 0.5000 0.6931  4 Li 2.89, 4 Er 3.18
Pb 0.2158 0.2158 0.0000  1 Li 2.71
Pb 0.7842 0.7842 0.0000  1 Li 2.71
Pb 0.8069 0.5000 0.3069  4 Li 2.89, 4 Er 3.18

Properties
- DFT total energy (eV per cell) = -44.04
- V (Å³/f.u.) = 302.64
- energy relative to the elements (meV per atom) = -233
- symmetry = Immm (71)